This record from Alexandria describes a relaxed structure of DyZn12Pt6. The functional is GGA-PBE.

a = 7.1789 Å, b = 7.1789 Å, c = 7.1789 Å
α = 105.20°, β = 105.20°, γ = 105.20°
Fractional coordinates of all 19 atoms:
Dy 0.0000 0.0000 0.0000
Zn 0.8899 0.1101 0.5000
Zn 0.8617 0.6131 0.6131
Zn 0.6131 0.6131 0.8617
Zn 0.3869 0.1383 0.3869
Zn 0.3869 0.3869 0.1383
Zn 0.1383 0.3869 0.3869
Zn 0.1101 0.5000 0.8899
Zn 0.5000 0.8899 0.1101
Zn 0.1101 0.8899 0.5000
Zn 0.8899 0.5000 0.1101
Zn 0.5000 0.1101 0.8899
Zn 0.6131 0.8617 0.6131
Pt 0.7107 0.2814 0.2814
Pt 0.2814 0.2814 0.7107
Pt 0.2814 0.7107 0.2814
Pt 0.7186 0.7186 0.2893
Pt 0.2893 0.7186 0.7186
Pt 0.7186 0.2893 0.7186

DOS at the Fermi energy in states/eV per cell: 6.9
SG: No. 166
ΔE_f in kJ per mole of atoms: -36.66

This record from Alexandria describes a relaxed structure of K2MgF4. The functional is GGA-PBE.

a = 4.0355 Å, b = 4.0355 Å, c = 7.2411 Å
α = 73.82°, β = 73.82°, γ = 90.00°
Fractional coordinates of all 7 atoms:
K 0.3519 0.3519 0.2963
K 0.6481 0.6481 0.7037
Mg 0.0000 0.0000 0.0000
F 0.1520 0.1520 0.6959
F 0.8480 0.8480 0.3041
F 0.0000 0.5000 0.0000
F 0.5000 0.0000 0.0000

DOS at the Fermi energy in states/eV per cell: 0.0
Formation energy without anion corrections in eV per atom: -3.14
SG: No. 139

This record from Alexandria describes a relaxed structure of OsPt2Br. The functional is GGA-PBE.

a = 6.1795 Å, b = 5.0499 Å, c = 2.8118 Å
α = 90.08°, β = 62.94°, γ = 119.08°
Fractional coordinates of all 4 atoms:
Os 0.5000 0.5000 0.0000
Pt 0.0000 0.0000 0.0000
Pt 0.5000 0.0000 0.5000
Br 0.0000 0.5000 0.5000

Distance to the lowest polymorph of the same formula in eV/f.u.: 1.89
DOS at the Fermi energy in states/eV per cell: 4.9
Formation energy without anion corrections in eV per atom: 0.91
SG: No. 12